Entry 1:
Entry from Alexandria: crystalline BaLaRu2 at its relaxed geometry (GGA-PBE).

abc: 7.4263 4.3868 8.3716
angles: 90.00 107.21 90.00
Last column: nearest neighbours and their distance in Å.
Space group Cm (No. 8)
Inequivalent atoms, fractional coordinates:
Ba 0.0000 0.0000 0.0000  6 Ru 3.30-3.50
La 0.1749 0.0000 0.5178  6 Ru 2.96-3.17
Ru 0.2820 0.5000 0.2966  3 Ru 2.42-2.70
Ru 0.4155 0.0000 0.2857  3 Ru 2.42-2.70

* ρ: 6.1 g cm⁻³
* electronic total energy: -50.322 eV/cell

***

Entry 2:
Entry from Alexandria: crystalline BaLa4Ru at its relaxed geometry (GGA-PBE).

abc: 9.1888 9.1888 9.1888
angles: 90.00 90.00 90.00
Last column: nearest neighbours and their distance in Å.
Space group F-43m (No. 216)
Inequivalent atoms, fractional coordinates:
Ba 0.0000 0.0000 0.0000  12 La 3.82, 4 Ru 3.98
La 0.1219 0.1219 0.6219  6 La 3.17-3.33
Ru 0.2500 0.2500 0.2500  12 La 3.80, 4 Ba 3.98

* ρ: 6.8 g cm⁻³
* electronic total energy: -106.806 eV/cell

***

Entry 3:
Entry from Alexandria: crystalline Ba2La2Ru at its relaxed geometry (GGA-PBE).

abc: 7.4971 7.4971 6.8388
angles: 90.00 90.00 90.00
Last column: nearest neighbours and their distance in Å.
Space group P4/mbm (No. 127)
Inequivalent atoms, fractional coordinates:
Ba 0.1864 0.3136 0.0000  2 La 3.69, 5 Ba 3.87-3.95
La 0.1817 0.6817 0.5000  2 Ru 2.75
Ru 0.0000 0.0000 0.5000  4 La 2.75

* ρ: 5.6 g cm⁻³
* electronic total energy: -45.244 eV/cell

***

Entry 4:
Entry from Alexandria: crystalline BaLaRu2 at its relaxed geometry (GGA-PBE).

abc: 4.3562 4.6111 11.9644
angles: 90.00 90.00 90.00
Last column: nearest neighbours and their distance in Å.
Space group Amm2 (No. 38)
Inequivalent atoms, fractional coordinates:
Ba 0.0000 0.0000 0.0000  7 Ru 3.41-3.52
La 0.5000 0.0000 0.2747  2 Ru 2.90
Ru 0.0000 0.0000 0.7096  2 Ru 2.39
Ru 0.5000 0.0000 0.6282  2 Ru 2.39

* ρ: 6.6 g cm⁻³
* electronic total energy: -49.949 eV/cell

***

Entry 5:
Entry from Alexandria: crystalline BaLaRu2 at its relaxed geometry (GGA-PBE).

abc: 7.1663 7.1663 7.1663
angles: 90.00 90.00 90.00
Last column: nearest neighbours and their distance in Å.
Space group F-43m (No. 216)
Inequivalent atoms, fractional coordinates:
Ba 0.0000 0.0000 0.0000  4 La 3.10, 4 Ru 3.10
La 0.2500 0.2500 0.7500  4 Ba 3.10, 4 Ru 3.10
Ru 0.0000 0.0000 0.5000  4 La 3.10, 4 Ru 3.10
Ru 0.2500 0.2500 0.2500  4 Ba 3.10, 4 Ru 3.10

* ρ: 8.6 g cm⁻³
* electronic total energy: -90.650 eV/cell

***

Entry 6:
Entry from Alexandria: crystalline BaLaRu2 at its relaxed geometry (GGA-PBE).

abc: 8.8386 3.4274 7.1278
angles: 90.00 99.48 90.00
Last column: nearest neighbours and their distance in Å.
Space group C2/m (No. 12)
Inequivalent atoms, fractional coordinates:
Ba 0.0000 0.0000 0.0000  2 Ba 3.43, 6 Ru 3.46-3.59
La 0.0000 0.5000 0.5000  6 Ru 2.60-2.89
Ru 0.2465 0.5000 0.3443  3 La 2.60-2.89, 2 Ru 2.80

* ρ: 7.5 g cm⁻³
* electronic total energy: -47.845 eV/cell

***

Entry 7:
Entry from Alexandria: crystalline BaLa2Ru2 at its relaxed geometry (GGA-PBE).

abc: 5.1673 5.1673 11.6509
angles: 90.00 90.00 90.00
Last column: nearest neighbours and their distance in Å.
Space group I4/mmm (No. 139)
Inequivalent atoms, fractional coordinates:
Ba 0.0000 0.0000 0.0000  10 La 3.80-4.18, 8 Ru 3.89
La 0.0000 0.0000 0.3262  4 Ru 2.73
Ru 0.0000 0.5000 0.2500  4 La 2.73

* ρ: 6.6 g cm⁻³
* electronic total energy: -59.505 eV/cell

***

Entry 8:
Entry from Alexandria: crystalline BaLaRu2 at its relaxed geometry (GGA-PBE).

abc: 3.5737 3.5737 7.6461
angles: 90.00 90.00 90.00
Last column: nearest neighbours and their distance in Å.
Space group P4/mmm (No. 123)
Inequivalent atoms, fractional coordinates:
Ba 0.0000 0.0000 0.0000  8 Ru 3.42, 4 Ba 3.57, 2 La 3.82
La 0.0000 0.0000 0.5000  8 Ru 2.95
Ru 0.5000 0.5000 0.3020  4 La 2.95, 1 Ru 3.03

* ρ: 8.1 g cm⁻³
* electronic total energy: -23.863 eV/cell

***

Entry 9:
Entry from Alexandria: crystalline BaLaRu2 at its relaxed geometry (GGA-PBE).

abc: 3.2606 3.8592 8.7658
angles: 90.00 90.00 90.00
Last column: nearest neighbours and their distance in Å.
Space group Pmm2 (No. 25)
Inequivalent atoms, fractional coordinates:
Ba 0.0000 0.0000 0.0000  5 Ru 3.18-3.46, 2 Ba 3.26
La 0.5000 0.5000 0.4315  1 Ru 2.62
Ru 0.0000 0.0000 0.6371  4 Ru 2.66
Ru 0.5000 0.5000 0.7306  1 La 2.62, 4 Ru 2.66

* ρ: 7.2 g cm⁻³
* electronic total energy: -24.169 eV/cell

***

Entry 10:
Entry from Alexandria: crystalline BaLaRu2 at its relaxed geometry (GGA-PBE).

abc: 7.6740 7.6740 6.5845
angles: 90.00 90.00 90.00
Last column: nearest neighbours and their distance in Å.
Space group I-42d (No. 122)
Inequivalent atoms, fractional coordinates:
Ba 0.0000 0.0000 0.0000  4 Ru 3.02, 2 La 3.29
La 0.0000 0.0000 0.5000  4 Ru 2.66
Ru 0.2153 0.2500 0.6250  2 La 2.66

* ρ: 8.2 g cm⁻³
* electronic total energy: -91.098 eV/cell

***

Entry 11:
Entry from Alexandria: crystalline BaLa2Ru2 at its relaxed geometry (GGA-PBE).

abc: 8.6591 8.6591 3.4205
angles: 90.00 90.00 90.00
Last column: nearest neighbours and their distance in Å.
Space group P4/mbm (No. 127)
Inequivalent atoms, fractional coordinates:
Ba 0.0000 0.0000 0.0000  4 La 3.35, 2 Ba 3.42, 8 Ru 3.74
La 0.1395 0.3605 0.0000  6 Ru 2.99-3.16
Ru 0.1433 0.6433 0.5000  6 La 2.99-3.16

* ρ: 8.0 g cm⁻³
* electronic total energy: -59.395 eV/cell

***

Entry 12:
Entry from Alexandria: crystalline BaLa2SbRu at its relaxed geometry (GGA-PBE).

abc: 5.4009 5.4009 5.9264
angles: 90.00 90.00 90.00
Last column: nearest neighbours and their distance in Å.
Space group P4/mmm (No. 123)
Inequivalent atoms, fractional coordinates:
Ba 0.0000 0.0000 0.0000  2 Ru 2.96
La 0.0000 0.5000 0.5000  2 Ru 2.70
Sb 0.5000 0.5000 0.0000  4 Ba 3.82, 8 La 4.01
Ru 0.0000 0.0000 0.5000  4 La 2.70, 2 Ba 2.96

* ρ: 6.1 g cm⁻³
* raw formation energy: -2.16 eV/f.u.

***

- Which value of ρ does entry 3 give?
  5.6 g cm⁻³

***

- Number 8 is which compound?
  BaLaRu2